Entry 1:
Material: ScFe4Rh
Method: DFT, PBE
State: optimized geometry

Calculated values
VASP energy, eV per atom: -8.0990
Space-group type: No. 216
N(E_F), states/eV per cell: 6.524
Energy relative to the elements, eV per formula unit: -1.06

a b c (Å): 4.8569 4.8569 4.8569
angles (deg): 60.00 60.00 60.00
Last column: nearest neighbours and their distance in Å.
Element x y z (fractional)
Sc (0.0000, 0.0000, 0.0000)  12 Fe 2.85, 4 Rh 2.97
Fe (0.1262, 0.6246, 0.6246)  6 Fe 2.42-2.44
Fe (0.6246, 0.1262, 0.6246)  6 Fe 2.42-2.44
Fe (0.6246, 0.6246, 0.1262)  6 Fe 2.42-2.44
Fe (0.6246, 0.6246, 0.6246)  6 Fe 2.42-2.44
Rh (0.2500, 0.2500, 0.2500)  12 Fe 2.85, 4 Sc 2.97

=====

Entry 2:
Material: ScFeRh
Method: DFT, PBE
State: optimized geometry

Calculated values
VASP energy, eV per atom: -7.7256
Space-group type: No. 107
N(E_F), states/eV per cell: 1.828
Energy relative to the elements, eV per formula unit: -1.03

a b c (Å): 5.2600 5.2600 5.2600
angles (deg): 145.37 145.37 49.78
Last column: nearest neighbours and their distance in Å.
Element x y z (fractional)
Sc (0.0000, 0.0000, 0.0000)  4 Rh 2.76, 5 Fe 2.79-3.07
Fe (0.3222, 0.3222, 0.0000)  4 Rh 2.63, 4 Sc 2.79
Rh (0.6734, 0.6734, 0.0000)  4 Fe 2.63, 4 Sc 2.76

=====

Copy entry 2 word for word.
Material: ScFeRh
Method: DFT, PBE
State: optimized geometry

Calculated values
VASP energy, eV per atom: -7.7256
Space-group type: No. 107
N(E_F), states/eV per cell: 1.828
Energy relative to the elements, eV per formula unit: -1.03

a b c (Å): 5.2600 5.2600 5.2600
angles (deg): 145.37 145.37 49.78
Last column: nearest neighbours and their distance in Å.
Element x y z (fractional)
Sc (0.0000, 0.0000, 0.0000)  4 Rh 2.76, 5 Fe 2.79-3.07
Fe (0.3222, 0.3222, 0.0000)  4 Rh 2.63, 4 Sc 2.79
Rh (0.6734, 0.6734, 0.0000)  4 Fe 2.63, 4 Sc 2.76

=====

Which formula does entry 1 have? ScFe4Rh